The following is a DFT calculation (PBE) of a relaxed PmScTe3Pd crystal.

```
PmScTe3Pd
1.0
7.900 0.000 0.000
0.000 4.145 0.000
-2.151 0.000 9.808
Pm Sc Te Pd
2 2 6 2
Cartesian
0.976 1.036 2.877
4.773 3.109 6.931
0.740 3.109 8.023
5.009 1.036 1.784
-1.251 1.036 8.444
1.164 3.109 5.223
2.958 3.109 1.329
2.791 1.036 8.479
4.585 1.036 4.585
7.000 3.109 1.364
-0.585 1.036 5.821
6.334 3.109 3.986
```

Values from the calculation:
Crystal system   monoclinic
Symmetry   P2_1/m (11)
N(E_F)   0.077 states/eV/atom
Calculated total energy   -5.475 eV per atom
M_tot   0.000 μB/cell
E_form (uncorrected)   -1.192 eV per atom